(1)
Density functional theory data (meta-GGA SCAN) for a PBEsol-optimized structure of LaAl2.

```
LaAl2
1.0
5.6989 0.0000 0.0000
2.8494 4.9354 0.0000
2.8494 1.6451 4.6531
La Al
2 4
Cartesian
8.5483 4.9354 3.4898
5.6989 3.2902 2.3265
2.8494 1.6451 2.9082
2.8494 3.2902 0.5816
1.4247 0.8226 0.5816
4.2741 0.8226 0.5816
```

Its total energy is -20.0713 eV/atom. The calculation puts the spin magnetization at 0.00 μB/cell. For the energy relative to the elements, the calculation gives -0.535 eV/atom.

***

(2)
Density functional theory data (meta-GGA SCAN) for a PBEsol-optimized structure of LaAl.

```
LaAl
1.0
-1.3211 0.3753 -3.8167
1.7026 -4.5321 -1.0350
-4.6854 0.0794 3.7851
Al La
2 2
Cartesian
-2.5701 -2.4654 0.6472
-1.7339 -1.6120 -1.7138
0.3094 -3.8294 -0.4836
-4.6133 -0.2480 -0.5830
```

Its total energy is -25.8703 eV/atom. The calculation puts the spin magnetization at 0.00 μB/cell. For the energy relative to the elements, the calculation gives -0.442 eV/atom.

***

(3)
Density functional theory data (meta-GGA SCAN) for a PBEsol-optimized structure of LaAl2.

```
LaAl2
1.0
-2.6161 1.4061 0.9274
0.7144 -2.0468 5.1186
4.3544 6.7279 2.0825
La Al
2 4
Cartesian
0.0000 0.0000 0.0000
1.2264 3.0436 4.0643
-0.4905 3.5361 1.4824
2.2435 5.7694 5.0122
2.2288 4.5979 1.5274
0.2092 0.3178 3.1163
```

Its total energy is -19.4346 eV/atom. The calculation puts the spin magnetization at 0.00 μB/cell. For the energy relative to the elements, the calculation gives 0.102 eV/atom.

***

(4)
Density functional theory data (meta-GGA SCAN) for a PBEsol-optimized structure of LaAl.

```
LaAl
1.0
3.5396 0.0000 0.0000
-1.7698 3.0654 0.0000
0.0000 0.0000 9.9550
La Al
2 2
Cartesian
1.7698 1.0218 3.3015
0.0000 2.0436 6.6535
1.7698 1.0218 9.0718
0.0000 2.0436 0.8832
```

Its total energy is -25.4117 eV/atom. The calculation puts the spin magnetization at 0.00 μB/cell. For the energy relative to the elements, the calculation gives 0.017 eV/atom.

***

(5)
Density functional theory data (meta-GGA SCAN) for a PBEsol-optimized structure of LaAl2.

```
LaAl2
1.0
-2.7976 -2.4283 -2.3322
3.2026 -2.8549 -0.8691
-2.0444 -1.3680 7.9848
Al La
4 2
Cartesian
-0.1019 -3.3043 -0.5455
-2.0153 -2.5563 0.9709
-2.6242 -3.8816 3.0811
-1.5375 -3.3469 5.3291
0.0000 0.0000 0.0000
0.6803 -3.4323 2.7575
```

Its total energy is -20.0467 eV/atom. The calculation puts the spin magnetization at 0.13 μB/cell. For the energy relative to the elements, the calculation gives -0.510 eV/atom.

***

(6)
Density functional theory data (meta-GGA SCAN) for a PBEsol-optimized structure of LiLa3Al.

```
LiLa3Al
1.0
-4.7820 -2.0549 -0.3313
1.7209 -4.3702 2.2671
-1.1709 1.9694 4.6851
Al La Li
1 3 1
Cartesian
-2.1160 -2.2278 3.3104
-2.3910 -1.0275 -0.1657
-0.5854 0.9847 2.3425
0.8604 -2.1851 1.1336
0.0000 0.0000 0.0000
```

Its total energy is -27.5680 eV/atom. The calculation puts the spin magnetization at 0.00 μB/cell. For the energy relative to the elements, the calculation gives 0.323 eV/atom.